1.
A relaxed structure of Ca3CdO, computed with PBE.

Lattice parameters (Å, degrees): 4.910 4.910 4.910 90.00 90.00 90.00
Fractional coordinates of all 5 atoms:
Ca  0.000  0.000  0.500
Ca  0.000  0.500  0.000
Ca  0.500  0.000  0.000
Cd  0.500  0.500  0.500
O  0.000  0.000  0.000

Properties
The value obtained for the polymorph energy (0 for the lowest one) is 0 meV per atom. The raw formation energy comes out at -6.499 eV/f.u. The value obtained for the total energy is -0.270 Ry per atom. As for the volume: 23.7 A^3/atom.

---

2.
A relaxed structure of LiTlRe, computed with PBE.

Lattice parameters (Å, degrees): 5.016 5.016 5.016 148.06 128.08 62.27
Fractional coordinates of all 3 atoms:
Li  0.000  0.000  0.000
Tl  0.330  0.330  0.000
Re  0.661  0.661  0.000

Properties
The value obtained for the polymorph energy (0 for the lowest one) is 128 meV per atom. The value obtained for the total energy is -0.355 Ry per atom. The formation energy comes out at 72 kJ/mol of atoms. As for the volume: 17.3 A^3/atom.

---

3.
A relaxed structure of Tm5In2Co2Ru, computed with PBE.

Lattice parameters (Å, degrees): 11.299 11.299 3.399 90.00 90.00 90.00
Fractional coordinates of all 20 atoms:
Tm  0.000  0.500  0.000
Tm  0.065  0.199  0.000
Tm  0.199  0.935  0.000
Tm  0.301  0.435  0.000
Tm  0.435  0.699  0.000
Tm  0.500  0.000  0.000
Tm  0.565  0.301  0.000
Tm  0.699  0.565  0.000
Tm  0.801  0.065  0.000
Tm  0.935  0.801  0.000
In  0.180  0.680  0.500
In  0.320  0.180  0.500
In  0.680  0.820  0.500
In  0.820  0.320  0.500
Co  0.135  0.365  0.500
Co  0.365  0.865  0.500
Co  0.635  0.135  0.500
Co  0.865  0.635  0.500
Ru  0.000  0.000  0.500
Ru  0.500  0.500  0.500

Properties
The value obtained for the total energy is -0.401 Ry per atom. The formation energy comes out at -32 kJ/mol of atoms. As for the volume: 21.7 A^3/atom.

---

4.
A relaxed structure of NdMg2SnPd4, computed with PBE.

Lattice parameters (Å, degrees): 8.172 8.172 8.172 33.81 33.81 33.81
Fractional coordinates of all 8 atoms:
Nd  0.000  0.000  0.000
Mg  0.248  0.248  0.248
Mg  0.752  0.752  0.752
Sn  0.500  0.500  0.500
Pd  0.130  0.130  0.130
Pd  0.383  0.383  0.383
Pd  0.617  0.617  0.617
Pd  0.870  0.870  0.870

Properties
The value obtained for the total energy is -0.350 Ry per atom. The formation energy comes out at -65 kJ/mol of atoms. As for the volume: 18.8 A^3/atom.

---

5.
A relaxed structure of MoRu3, computed with PBE.

Lattice parameters (Å, degrees): 3.852 3.852 4.734 113.93 113.93 89.96
Fractional coordinates of all 4 atoms:
Mo  0.000  0.000  0.000
Ru  0.250  0.750  0.500
Ru  0.500  0.500  0.000
Ru  0.750  0.250  0.500

Properties
The value obtained for the polymorph energy (0 for the lowest one) is 82 meV per atom. The value obtained for the total energy is -0.708 Ry per atom. The formation energy comes out at 3 kJ/mol of atoms. As for the volume: 14.4 A^3/atom.

---

6.
A relaxed structure of Li3H4Ir, computed with PBE.

Lattice parameters (Å, degrees): 4.971 5.642 5.134 90.00 114.75 90.00
Fractional coordinates of all 16 atoms:
Li  0.000  0.099  0.250
Li  0.000  0.369  0.750
Li  0.000  0.631  0.250
Li  0.000  0.901  0.750
Li  0.500  0.365  0.250
Li  0.500  0.635  0.750
H  0.247  0.354  0.527
H  0.247  0.646  0.027
H  0.318  0.097  0.993
H  0.318  0.903  0.493
H  0.682  0.097  0.507
H  0.682  0.903  0.007
H  0.753  0.354  0.973
H  0.753  0.646  0.473
Ir  0.500  0.150  0.750
Ir  0.500  0.850  0.250

Properties
The value obtained for the polymorph energy (0 for the lowest one) is 54 meV per atom. The value obtained for the total energy is -0.284 Ry per atom. As for the volume: 8.2 A^3/atom.